Material: SrYZr2Rh
Method: DFT, PBE
State: optimized geometry

```
SrYZr2Rh
1.0
5.186 0.000 0.000
0.000 5.186 0.000
0.000 0.000 5.503
Sr Y Zr Rh
1 1 2 1
Cartesian
0.000 0.000 0.000
2.593 2.593 0.000
0.000 2.593 2.752
2.593 0.000 2.752
2.593 2.593 2.752
```

Computed properties:
The energy relative to the elements is 0.04 eV/atom. Its spin magnetization is 0.00 μB/f.u.

---

Material: SrZn2Rh
Method: DFT, PBE
State: optimized geometry

```
SrZn2Rh
1.0
3.394 0.000 0.000
0.000 3.394 0.000
0.000 0.000 7.058
Sr Zn Rh
1 2 1
Cartesian
0.000 0.000 0.000
0.000 0.000 3.888
1.697 1.697 2.382
1.697 1.697 4.943
```

Computed properties:
The energy relative to the elements is -0.17 eV/atom. Its spin magnetization is 0.00 μB/f.u.

---

Material: SrZnRh
Method: DFT, PBE
State: optimized geometry

```
SrZnRh
1.0
3.467 0.000 0.000
0.000 3.467 0.000
0.000 0.000 10.746
Sr Zn Rh
2 2 2
Cartesian
0.000 0.000 0.000
1.733 1.733 5.373
0.000 0.000 3.045
1.733 1.733 8.418
0.000 0.000 7.585
1.733 1.733 2.212
```

Computed properties:
The energy relative to the elements is -0.24 eV/atom. Its spin magnetization is 0.00 μB/f.u.

---

> What is the spin magnetization in the first record?

0.00 μB/f.u.

---

Please write out number 1 again, unchanged.
Material: SrYZr2Rh
Method: DFT, PBE
State: optimized geometry

```
SrYZr2Rh
1.0
5.186 0.000 0.000
0.000 5.186 0.000
0.000 0.000 5.503
Sr Y Zr Rh
1 1 2 1
Cartesian
0.000 0.000 0.000
2.593 2.593 0.000
0.000 2.593 2.752
2.593 0.000 2.752
2.593 2.593 2.752
```

Computed properties:
The energy relative to the elements is 0.04 eV/atom. Its spin magnetization is 0.00 μB/f.u.

---

> spin magnetization of number 3 (SrZnRh)?

0.00 μB/f.u.